Computed, not measured: crystalline NaScC at its relaxed geometry at the PBE level of DFT.

Properties
The calculation puts the mass density at 1.961 g/cm³. The space group is Pm (6). The value obtained for the density of states at the Fermi level is 2.80 states/eV/f.u. As for the total moment: 0.00 μB/atom.

Lattice parameters (Å, degrees): 3.786 5.367 6.922 90.00 105.65 90.00
Sites, in units of the cell vectors:
Sc1 0.506 0.500 0.026
Sc2 0.128 0.000 0.275
Na1 0.743 0.500 0.512
Na2 0.903 0.000 0.810
C1 0.560 0.871 0.137
C2 0.560 0.129 0.137

---

Computed, not measured: crystalline NdThC at its relaxed geometry at the PBE level of DFT.

Properties
The calculation puts the mass density at 8.478 g/cm³. The space group is P3m1 (156). The value obtained for the density of states at the Fermi level is 2.92 states/eV/f.u. As for the total moment: 0.00 μB/atom.

Lattice parameters (Å, degrees): 3.669 3.669 6.524 90.00 90.00 120.00
Sites, in units of the cell vectors:
C1 0.667 0.333 0.343
Nd1 0.000 0.000 0.109
Th1 0.333 0.667 0.548

---

Number 1: distance to the lowest polymorph of the same formula 0.282 eV/atom. Number 2: distance to the lowest polymorph of the same formula 0.022 eV/atom.